1.
Material: PaZnCuHg
Method: DFT, GGA-PBE
State: optimized geometry

Computed properties:
Space group: F-43m
Energy (eV per atom): -3.743
Crystal system: cubic
Energy of formation from the pure elements (eV/atom): 0.05
M_tot (μB/atom): 0.000

Geometry as POSCAR:
```
PaZnCuHg
1.0
-0.2336 -4.7198 0.7173
2.5897 -2.0207 3.4721
-2.1612 -1.7203 3.9006
Zn Pa Hg Cu
1 1 1 1
Cartesian
0.1462 -6.3456 6.0675
0.0974 -4.2304 4.0450
0.0000 0.0000 0.0000
0.0487 -2.1152 2.0225
```

***

2.
Material: RbTa2I2
Method: DFT, GGA-PBE
State: optimized geometry

Computed properties:
Space group: I4/mmm
Energy (eV per atom): -5.227
Formation energy (no corrections) (eV/atom): 0.328
Crystal system: tetragonal
M_tot (μB/atom): 0.000

Geometry as POSCAR:
```
RbTa2I2
1.0
3.8904 0.0000 0.0000
0.0000 3.8904 0.0000
1.9452 1.9452 9.9413
Rb I Ta
1 2 2
Cartesian
0.0000 0.0000 0.0000
1.9452 1.9452 2.4491
3.8904 3.8904 7.4922
1.9452 3.8904 4.9706
3.8904 1.9452 4.9706
```

***

3.
Material: Ni2OsAu
Method: DFT, GGA-PBE
State: optimized geometry

Computed properties:
Space group: P4/mmm
Energy (eV per atom): -6.083
Crystal system: tetragonal
Energy of formation from the pure elements (eV/atom): 0.43
M_tot (μB/atom): 0.608

Geometry as POSCAR:
```
Ni2OsAu
1.0
3.3924 0.0000 0.0000
0.0000 4.0037 0.0000
0.0000 0.0000 4.0037
Ni Os Au
2 1 1
Cartesian
0.0000 0.0000 0.0000
0.0000 2.0018 2.0018
1.6962 2.0018 0.0000
1.6962 0.0000 2.0018
```

***

4.
Material: Li2Zn5Au2
Method: DFT, GGA-PBE
State: optimized geometry

Computed properties:
Space group: Ima2
Energy (eV per atom): -2.065
Crystal system: orthorhombic
Energy of formation from the pure elements (eV/atom): -0.20
M_tot (μB/atom): 0.000

Geometry as POSCAR:
```
Li2Zn5Au2
1.0
-0.5958 5.3036 3.2116
2.6666 -2.7412 5.0214
5.8528 0.9651 -6.5482
Zn Au Li
10 4 4
Cartesian
1.9776 1.2149 -1.4033
6.2903 0.3472 -1.6164
2.6648 2.1200 5.2436
3.1800 4.5620 1.2127
5.2628 3.0149 1.8017
5.0369 1.0064 -4.5578
5.0199 -1.3185 0.9924
4.2041 1.9409 -2.1893
3.0363 2.2889 2.5877
1.2516 4.2020 3.1637
4.0342 1.0463 0.3848
0.7107 1.6150 3.5051
5.2042 1.1296 3.7760
2.3419 -2.4074 4.4100
2.4921 -0.2953 2.5966
6.9771 1.1673 1.0133
5.5083 3.7439 -0.7671
1.0233 2.2813 0.8162
```

***

5.
Material: ScHgMo2
Method: DFT, GGA-PBE
State: optimized geometry

Computed properties:
Space group: R-3m
Energy (eV per atom): -6.565
Crystal system: trigonal
Energy of formation from the pure elements (eV/atom): 0.51
M_tot (μB/atom): 0.000

Geometry as POSCAR:
```
ScHgMo2
1.0
9.8521 -0.0174 -0.0102
9.4100 2.9181 -0.0102
9.4100 1.4171 2.5509
Mo Hg Sc
2 1 1
Cartesian
14.3382 2.1592 1.2655
28.6701 4.3174 2.5304
21.5040 3.2383 1.8979
7.1680 1.0794 0.6326
```

***

6.
Material: Tb2LuTi
Method: DFT, GGA-PBE
State: optimized geometry

Computed properties:
Space group: R-3m
Energy (eV per atom): -5.213
Crystal system: trigonal
Energy of formation from the pure elements (eV/atom): 0.21
M_tot (μB/atom): 0.000

Geometry as POSCAR:
```
Tb2LuTi
1.0
-1.8074 -0.0482 -2.8624
-2.7747 -1.9276 -0.2178
-7.5975 7.6622 2.6660
Lu Tb Ti
1 2 1
Cartesian
-6.0898 2.8432 -0.2071
-2.9102 1.2369 -0.1855
-9.2694 4.4495 -0.2286
0.0000 0.0000 0.0000
```

***

7.
Material: Ca2Pm5Pr2
Method: DFT, GGA-PBE
State: optimized geometry

Computed properties:
Space group: P-1
Energy (eV per atom): -4.092
Crystal system: triclinic
Energy of formation from the pure elements (eV/atom): 0.05
M_tot (μB/atom): 0.000

Geometry as POSCAR:
```
Ca2Pm5Pr2
1.0
-0.7062 6.3812 0.1180
-9.7286 -1.0783 0.7383
-2.0580 2.8939 5.3545
Pm Pr Ca
5 2 2
Cartesian
-5.2147 4.6956 4.4375
-4.3110 1.6429 2.6496
-7.2781 3.5012 1.7733
0.0000 0.0000 0.0000
-8.1819 6.5539 3.5612
-8.4203 3.2539 5.3183
-4.0726 4.9429 0.8925
-0.9258 3.0862 1.8181
-11.5671 5.1106 4.3927
```

***

8.
Material: Nd2PuI
Method: DFT, GGA-PBE
State: optimized geometry

Computed properties:
Space group: R-3m
Energy (eV per atom): -6.377
Formation energy (no corrections) (eV/atom): -0.023
Crystal system: trigonal
M_tot (μB/atom): 1.604

Geometry as POSCAR:
```
Nd2PuI
1.0
3.6427 0.0000 0.0000
1.8214 3.1547 0.0000
1.8214 1.0516 11.7478
Pu Nd I
1 2 1
Cartesian
0.0000 0.0000 0.0000
5.4641 3.1547 3.3056
1.8214 1.0516 8.4422
3.6427 2.1031 5.8739
```

***

9.
Material: Be2TcNi2
Method: DFT, GGA-PBE
State: optimized geometry

Computed properties:
Space group: P4/mbm
Energy (eV per atom): -5.989
Crystal system: tetragonal
Energy of formation from the pure elements (eV/atom): -0.11
M_tot (μB/atom): 0.000

Geometry as POSCAR:
```
Be2TcNi2
1.0
-1.3124 -6.1010 2.0087
5.0745 0.2721 4.1418
-1.4641 0.8864 1.7356
Tc Be Ni
2 4 4
Cartesian
0.0000 0.0000 0.0000
1.8811 -2.9144 3.0753
-0.3037 -1.5251 2.2344
2.6017 -3.4174 5.6518
2.4440 -0.4105 3.9831
-0.1460 -4.5319 3.9030
2.0369 -5.1546 4.3509
-0.1779 -3.7916 1.7863
3.9400 -2.0373 4.3642
1.7252 -0.6742 1.7997
```

***

10.
Material: TmPuAsS
Method: DFT, GGA-PBE
State: optimized geometry

Computed properties:
Space group: R3m
Energy (eV per atom): -8.486
Formation energy (no corrections) (eV/atom): -1.591
Crystal system: trigonal
M_tot (μB/atom): 1.375

Geometry as POSCAR:
```
TmPuAsS
1.0
-2.3918 -1.9851 2.5627
-1.0668 -3.8061 -0.7775
4.0633 -4.0513 3.8205
Tm Pu S As
1 1 1 1
Cartesian
1.3599 -7.7504 4.7647
0.9907 -2.8020 1.9205
-2.6126 -6.1352 2.3083
1.2094 -5.2900 3.3637
```

***

11.
Material: Li2In2GePt4
Method: DFT, GGA-PBE
State: optimized geometry

Computed properties:
Space group: I4/mmm
Energy (eV per atom): -4.597
Crystal system: tetragonal
Energy of formation from the pure elements (eV/atom): -0.37
M_tot (μB/atom): 0.000

Geometry as POSCAR:
```
Li2In2GePt4
1.0
-4.2834 3.7097 -1.8481
2.0947 -3.9725 -3.9188
-1.4698 -4.1182 4.0503
In Pt Li Ge
2 4 2 1
Cartesian
-0.9381 -2.1541 -2.8506
-2.7204 -2.2270 1.1340
-1.5044 -4.1989 -0.7497
1.1279 -4.0120 -1.7573
-2.1541 -0.1821 -0.9669
-0.5030 -4.0787 1.8888
0.4383 -5.6742 0.0922
0.1866 -2.4165 0.0393
0.0000 0.0000 0.0000
```

***

12.
Material: NaMnAlFe
Method: DFT, GGA-PBE
State: optimized geometry

Computed properties:
Space group: Cm
Energy (eV per atom): -5.252
Crystal system: monoclinic
Energy of formation from the pure elements (eV/atom): 0.42
M_tot (μB/atom): 1.457

Geometry as POSCAR:
```
NaMnAlFe
1.0
4.8134 0.0000 0.0294
0.0000 2.7547 0.0000
-3.0379 0.0000 9.5939
Al Mn Na Fe
2 2 2 2
Cartesian
1.0854 0.0000 8.7625
2.6043 1.3773 3.9655
2.5108 0.0000 1.5848
0.9919 1.3773 6.3817
0.0973 1.3773 1.8987
-1.4217 0.0000 6.6957
-1.2076 1.3773 9.2381
0.3114 0.0000 4.4411
```